Nd2CSe | PBE | relaxed

space-group type	No. 63
ρ	6.5	Mg/m³
energy relative to the elements, uncorrected	-0.540	eV per atom

a b c (Å): 7.918 7.918 3.841
angles (deg): 90.00 90.00 125.79
Fractional coordinates of all 8 atoms:
Nd  0.113  0.333  0.250
Nd  0.333  0.113  0.750
Nd  0.667  0.887  0.250
Nd  0.887  0.667  0.750
C  0.071  0.929  0.250
C  0.929  0.071  0.750
Se  0.294  0.706  0.750
Se  0.706  0.294  0.250



NdSmCSe | PBE | relaxed

space-group type	No. 160
ρ	7.1	Mg/m³
energy relative to the elements, uncorrected	-0.985	eV per atom

a b c (Å): 7.316 7.316 7.316
angles (deg): 30.61 30.61 30.61
Fractional coordinates of all 4 atoms:
Nd  0.000  0.000  0.000
Sm  0.198  0.198  0.198
C  0.598  0.598  0.598
Se  0.768  0.768  0.768



Nd6TeC2Se3 | PBE | relaxed

space-group type	No. 12
ρ	6.8	Mg/m³
energy relative to the elements, uncorrected	-1.207	eV per atom

a b c (Å): 9.314 9.314 8.480
angles (deg): 102.84 102.84 25.15
Fractional coordinates of all 12 atoms:
Nd  0.028  0.028  0.279
Nd  0.322  0.322  0.435
Nd  0.322  0.322  0.868
Nd  0.678  0.678  0.132
Nd  0.678  0.678  0.565
Nd  0.972  0.972  0.721
Te  0.500  0.500  0.000
C  0.172  0.172  0.339
C  0.828  0.828  0.661
Se  0.159  0.159  0.835
Se  0.500  0.500  0.500
Se  0.841  0.841  0.165



Nd6Te3C2Se | PBE | relaxed

space-group type	No. 12
ρ	7.0	Mg/m³
energy relative to the elements, uncorrected	-1.089	eV per atom

a b c (Å): 9.594 9.594 8.705
angles (deg): 105.78 105.78 24.62
Fractional coordinates of all 12 atoms:
Nd  0.028  0.028  0.256
Nd  0.319  0.319  0.446
Nd  0.328  0.328  0.866
Nd  0.672  0.672  0.134
Nd  0.681  0.681  0.554
Nd  0.972  0.972  0.744
Te  0.158  0.158  0.832
Te  0.500  0.500  0.500
Te  0.842  0.842  0.168
C  0.170  0.170  0.334
C  0.830  0.830  0.666
Se  0.500  0.500  0.000



Nd4TeCSe2 | PBE | relaxed

space-group type	No. 119
ρ	6.7	Mg/m³
energy relative to the elements, uncorrected	-1.213	eV per atom

a b c (Å): 7.368 7.368 7.368
angles (deg): 132.18 132.18 69.94
Fractional coordinates of all 8 atoms:
Nd  0.007  0.507  0.500
Nd  0.208  0.208  0.000
Nd  0.493  0.993  0.500
Nd  0.792  0.792  0.000
Te  0.750  0.250  0.500
C  0.000  0.000  0.000
Se  0.250  0.750  0.500
Se  0.500  0.500  0.000



NdTmCSe | PBE | relaxed

space-group type	No. 160
ρ	8.0	Mg/m³
energy relative to the elements, uncorrected	-1.051	eV per atom

a b c (Å): 7.160 7.160 7.160
angles (deg): 30.58 30.58 30.58
Fractional coordinates of all 4 atoms:
Nd  0.000  0.000  0.000
Tm  0.801  0.801  0.801
C  0.403  0.403  0.403
Se  0.226  0.226  0.226



NdYCSe | PBE | relaxed

space-group type	No. 160
ρ	6.2	Mg/m³
energy relative to the elements, uncorrected	-1.043	eV per atom

a b c (Å): 7.225 7.225 7.225
angles (deg): 30.59 30.59 30.59
Fractional coordinates of all 4 atoms:
Nd  0.000  0.000  0.000
Y  0.199  0.199  0.199
C  0.598  0.598  0.598
Se  0.772  0.772  0.772



Nd12Si3C5 | PBE | relaxed

space-group type	No. 230
ρ	5.9	Mg/m³
energy relative to the elements, uncorrected	-0.164	eV per atom

a b c (Å): 13.958 13.958 13.958
angles (deg): 109.47 109.47 109.47
Fractional coordinates of all 80 atoms:
Nd  0.028  0.207  0.121
Nd  0.028  0.320  0.907
Nd  0.086  0.707  0.680
Nd  0.086  0.879  0.407
Nd  0.093  0.621  0.414
Nd  0.093  0.972  0.680
Nd  0.121  0.028  0.207
Nd  0.121  0.593  0.914
Nd  0.180  0.207  0.586
Nd  0.180  0.472  0.593
Nd  0.207  0.121  0.028
Nd  0.207  0.586  0.180
Nd  0.293  0.320  0.914
Nd  0.293  0.472  0.379
Nd  0.320  0.907  0.028
Nd  0.320  0.914  0.293
Nd  0.379  0.293  0.472
Nd  0.379  0.586  0.907
Nd  0.407  0.086  0.879
Nd  0.407  0.820  0.528
Nd  0.414  0.093  0.621
Nd  0.414  0.820  0.793
Nd  0.472  0.379  0.293
Nd  0.472  0.593  0.180
Nd  0.528  0.407  0.820
Nd  0.528  0.621  0.707
Nd  0.586  0.180  0.207
Nd  0.586  0.907  0.379
Nd  0.593  0.180  0.472
Nd  0.593  0.914  0.121
Nd  0.621  0.414  0.093
Nd  0.621  0.707  0.528
Nd  0.680  0.086  0.707
Nd  0.680  0.093  0.972
Nd  0.707  0.528  0.621
Nd  0.707  0.680  0.086
Nd  0.793  0.414  0.820
Nd  0.793  0.879  0.972
Nd  0.820  0.528  0.407
Nd  0.820  0.793  0.414
Nd  0.879  0.407  0.086
Nd  0.879  0.972  0.793
Nd  0.907  0.028  0.320
Nd  0.907  0.379  0.586
Nd  0.914  0.121  0.593
Nd  0.914  0.293  0.320
Nd  0.972  0.680  0.093
Nd  0.972  0.793  0.879
Si  0.125  0.250  0.375
Si  0.125  0.375  0.750
Si  0.250  0.375  0.125
Si  0.250  0.875  0.625
Si  0.375  0.125  0.250
Si  0.375  0.750  0.125
Si  0.625  0.250  0.875
Si  0.625  0.875  0.750
Si  0.750  0.125  0.375
Si  0.750  0.625  0.875
Si  0.875  0.625  0.250
Si  0.875  0.750  0.625
C  0.000  0.000  0.000
C  0.000  0.000  0.500
C  0.000  0.500  0.000
C  0.000  0.500  0.500
C  0.125  0.750  0.875
C  0.125  0.875  0.250
C  0.250  0.125  0.875
C  0.250  0.625  0.375
C  0.375  0.250  0.625
C  0.375  0.625  0.750
C  0.500  0.000  0.000
C  0.500  0.000  0.500
C  0.500  0.500  0.000
C  0.500  0.500  0.500
C  0.625  0.375  0.250
C  0.625  0.750  0.375
C  0.750  0.375  0.625
C  0.750  0.875  0.125
C  0.875  0.125  0.750
C  0.875  0.250  0.125



Nd2SiC | PBE | relaxed

space-group type	No. 166
ρ	5.3	Mg/m³
energy relative to the elements, uncorrected	0.254	eV per atom

a b c (Å): 9.141 9.141 9.141
angles (deg): 22.99 22.99 22.99
Fractional coordinates of all 4 atoms:
Nd  0.114  0.114  0.114
Nd  0.886  0.886  0.886
Si  0.000  0.000  0.000
C  0.500  0.500  0.500



Nd6Si2C | PBE | relaxed

space-group type	No. 14
ρ	6.3	Mg/m³
energy relative to the elements, uncorrected	-0.365	eV per atom

a b c (Å): 6.401 8.063 11.339
angles (deg): 90.00 122.28 90.00
Fractional coordinates of all 18 atoms:
Nd  0.113  0.159  0.445
Nd  0.113  0.341  0.945
Nd  0.308  0.705  0.446
Nd  0.308  0.795  0.946
Nd  0.362  0.035  0.246
Nd  0.362  0.465  0.746
Nd  0.638  0.535  0.254
Nd  0.638  0.965  0.754
Nd  0.692  0.205  0.054
Nd  0.692  0.295  0.554
Nd  0.887  0.659  0.055
Nd  0.887  0.841  0.555
Si  0.191  0.114  0.757
Si  0.191  0.386  0.257
Si  0.809  0.614  0.743
Si  0.809  0.886  0.243
C  0.500  0.000  0.500
C  0.500  0.500  0.000



NdSiTc2C | PBE | relaxed

space-group type	No. 63
ρ	7.8	Mg/m³
energy relative to the elements, uncorrected	-0.486	eV per atom

a b c (Å): 5.847 5.847 7.375
angles (deg): 90.00 90.00 140.16
Fractional coordinates of all 10 atoms:
Nd  0.045  0.955  0.750
Nd  0.955  0.045  0.250
Si  0.232  0.768  0.250
Si  0.768  0.232  0.750
Tc  0.327  0.673  0.560
Tc  0.327  0.673  0.940
Tc  0.673  0.327  0.060
Tc  0.673  0.327  0.440
C  0.500  0.500  0.000
C  0.500  0.500  0.500



Nd2SiTcC | PBE | relaxed

space-group type	No. 11
ρ	6.4	Mg/m³
energy relative to the elements, uncorrected	-0.288	eV per atom

a b c (Å): 6.354 4.204 8.776
angles (deg): 90.00 109.65 90.00
Fractional coordinates of all 10 atoms:
Nd  0.213  0.250  0.383
Nd  0.230  0.250  0.976
Nd  0.770  0.750  0.024
Nd  0.787  0.750  0.617
Si  0.309  0.750  0.701
Si  0.691  0.250  0.299
Tc  0.498  0.250  0.743
Tc  0.502  0.750  0.257
C  0.192  0.750  0.172
C  0.808  0.250  0.828